Computed, not measured: crystalline KMnGaGe2 at its relaxed geometry at the PBE-GGA level of DFT.

The structure belongs to space group P4/mmm (No. 123); the cell edges are 4.6743, 4.6743 and 4.7496 Å and the angles 90.00°, 90.00° and 90.00°. Symmetry generates all atoms from K at (0.0000, 0.0000, 0.0000), Mn at (0.5000, 0.5000, 0.5000), Ga at (0.5000, 0.5000, 0.0000) and Ge at (0.0000, 0.5000, 0.5000).

The calculation puts the volume at 104 Å³/cell. The crystal system is tetragonal. The calculation puts the density of states at the Fermi level at 3.16 states/eV/cell. As for the uncorrected energy: -4.52 eV per atom. The calculation puts the formation energy at -0.018 eV per atom.